LaEuBiTe: optimized geometry, PBE.

## Properties
For the total energy, the calculation gives -6.667 eV/atom.

Cell: 5.6761 5.6761 5.6761 Å, 60.00 60.00 60.00°
Last column: nearest neighbours and their distance in Å.
Fractional coordinates of all 4 atoms:
Eu: 0.0000 0.0000 0.0000  4 Te 3.48, 4 Bi 3.48
Te: 0.2500 0.2500 0.2500  4 La 3.48, 4 Eu 3.48
Bi: 0.7500 0.7500 0.7500  4 La 3.48, 4 Eu 3.48
La: 0.5000 0.5000 0.5000  4 Bi 3.48, 4 Te 3.48